[1]
The following is a DFT calculation (PBE-GGA) of a relaxed TbHo3In3 crystal.

Lattice parameters (Å, degrees): 9.2936 9.2936 9.2936 90.00 90.00 90.00
Last column: nearest neighbours and their distance in Å.
Atoms (fractional coordinates):
Tb (0.0715, 0.4285, 0.5715)  6 In 3.15-3.33
Tb (0.4285, 0.5715, 0.0715)  6 In 3.15-3.33
Tb (0.5715, 0.0715, 0.4285)  6 In 3.15-3.33
Tb (0.9285, 0.9285, 0.9285)  6 In 3.15-3.33
Ho (0.0796, 0.5796, 0.9204)  6 In 3.13-3.30
Ho (0.1756, 0.1756, 0.1756)  6 In 3.13-3.30
Ho (0.1763, 0.8237, 0.3237)  6 In 3.13-3.29
Ho (0.3237, 0.1763, 0.8237)  6 In 3.13-3.29
Ho (0.3244, 0.8244, 0.6756)  6 In 3.13-3.30
Ho (0.4204, 0.4204, 0.4204)  6 In 3.13-3.30
Ho (0.5796, 0.9204, 0.0796)  6 In 3.13-3.30
Ho (0.6756, 0.3244, 0.8244)  6 In 3.13-3.30
Ho (0.6763, 0.6763, 0.6763)  6 In 3.13-3.29
Ho (0.8237, 0.3237, 0.1763)  6 In 3.13-3.29
Ho (0.8244, 0.6756, 0.3244)  6 In 3.13-3.30
Ho (0.9204, 0.0796, 0.5796)  6 In 3.13-3.30
In (0.0009, 0.2553, 0.8775)  6 Ho 3.13-3.30, 2 Tb 3.15-3.33
In (0.1225, 0.5009, 0.2447)  6 Ho 3.13-3.30, 2 Tb 3.15-3.33
In (0.2447, 0.1225, 0.5009)  6 Ho 3.13-3.30, 2 Tb 3.15-3.33
In (0.2553, 0.8775, 0.0009)  6 Ho 3.13-3.30, 2 Tb 3.15-3.33
In (0.3775, 0.4991, 0.7447)  6 Ho 3.13-3.30, 2 Tb 3.15-3.33
In (0.4991, 0.7447, 0.3775)  6 Ho 3.13-3.30, 2 Tb 3.15-3.33
In (0.5009, 0.2447, 0.1225)  6 Ho 3.13-3.30, 2 Tb 3.15-3.33
In (0.6225, 0.9991, 0.7553)  6 Ho 3.13-3.30, 2 Tb 3.15-3.33
In (0.7447, 0.3775, 0.4991)  6 Ho 3.13-3.30, 2 Tb 3.15-3.33
In (0.7553, 0.6225, 0.9991)  6 Ho 3.13-3.30, 2 Tb 3.15-3.33
In (0.8775, 0.0009, 0.2553)  6 Ho 3.13-3.30, 2 Tb 3.15-3.33
In (0.9991, 0.7553, 0.6225)  6 Ho 3.13-3.30, 2 Tb 3.15-3.33

Values from the calculation:
Volume = 802.7 Å³ per cell
Excess energy over the best structure of this formula in the dataset = 3.06 kJ per mole of atoms
ΔE_f = -0.307 eV per atom
Total magnetization = 0.00 μB/f.u.

[2]
The following is a DFT calculation (PBE-GGA) of a relaxed LaAlFeBi2 crystal.

Lattice parameters (Å, degrees): 5.1378 5.1378 5.0122 90.00 90.00 90.00
Last column: nearest neighbours and their distance in Å.
Atoms (fractional coordinates):
La (0.0000, 0.0000, 0.0000)  2 Fe 2.51
Al (0.5000, 0.5000, 0.0000)  8 Bi 3.59, 4 La 3.63
Fe (0.0000, 0.0000, 0.5000)  2 La 2.51, 4 Bi 2.57
Bi (0.0000, 0.5000, 0.5000)  2 Fe 2.57
Bi (0.5000, 0.0000, 0.5000)  2 Fe 2.57

Values from the calculation:
Volume = 132.3 Å³ per cell
ΔE_f = 0.068 eV per atom
Total magnetization = 0.00 μB/f.u.

[3]
The following is a DFT calculation (PBE-GGA) of a relaxed CoCu2Au crystal.

Lattice parameters (Å, degrees): 4.2414 4.2414 4.2414 60.00 60.00 60.00
Last column: nearest neighbours and their distance in Å.
Atoms (fractional coordinates):
Co (0.0000, 0.0000, 0.0000)  4 Cu 2.60, 4 Au 2.60
Cu (0.2500, 0.2500, 0.2500)  4 Co 2.60, 4 Cu 2.60
Cu (0.5000, 0.5000, 0.5000)  4 Cu 2.60, 4 Au 2.60
Au (0.7500, 0.7500, 0.7500)  4 Co 2.60, 4 Cu 2.60

Values from the calculation:
Volume = 54.0 Å³ per cell
ΔE_f = 0.207 eV per atom
Total magnetization = 1.69 μB/f.u.

[4]
The following is a DFT calculation (PBE-GGA) of a relaxed LiGe2SbSe6 crystal.

Lattice parameters (Å, degrees): 9.0259 9.0259 6.7074 98.72 98.72 86.62
Last column: nearest neighbours and their distance in Å.
Atoms (fractional coordinates):
Li (0.2205, 0.7795, 0.7500)  6 Se 2.66-2.89
Li (0.7795, 0.2205, 0.2500)  6 Se 2.66-2.89
Ge (0.1132, 0.2843, 0.7892)  4 Se 2.40-2.43
Ge (0.2843, 0.1132, 0.2892)  4 Se 2.40-2.43
Ge (0.7157, 0.8868, 0.7108)  4 Se 2.40-2.43
Ge (0.8868, 0.7157, 0.2108)  4 Se 2.40-2.43
Sb (0.3814, 0.6186, 0.2500)  4 Se 2.76-2.90
Sb (0.6186, 0.3814, 0.7500)  4 Se 2.76-2.90
Se (0.0576, 0.2089, 0.0984)  2 Ge 2.41-2.43
Se (0.1113, 0.6211, 0.3967)  1 Ge 2.40, 1 Li 2.66
Se (0.2089, 0.0576, 0.5984)  2 Ge 2.41-2.43
Se (0.2936, 0.4774, 0.8340)  1 Ge 2.41
Se (0.3789, 0.8887, 0.1033)  1 Ge 2.40, 1 Li 2.66
Se (0.4774, 0.2936, 0.3340)  1 Ge 2.41
Se (0.5226, 0.7064, 0.6660)  1 Ge 2.41
Se (0.6211, 0.1113, 0.8967)  1 Ge 2.40, 1 Li 2.66
Se (0.7064, 0.5226, 0.1660)  1 Ge 2.41
Se (0.7911, 0.9424, 0.4016)  2 Ge 2.41-2.43
Se (0.8887, 0.3789, 0.6033)  1 Ge 2.40, 1 Li 2.66
Se (0.9424, 0.7911, 0.9016)  2 Ge 2.41-2.43

Values from the calculation:
Volume = 533.5 Å³ per cell
Total magnetization = 0.00 μB/f.u.
Formation energy (no corrections) = -0.35 eV/atom

[5]
The following is a DFT calculation (PBE-GGA) of a relaxed SmPuFeCu crystal.

Lattice parameters (Å, degrees): 4.8710 4.8710 4.8710 60.00 60.00 60.00
Last column: nearest neighbours and their distance in Å.
Atoms (fractional coordinates):
Sm (0.0000, 0.0000, 0.0000)  4 Cu 2.98, 4 Fe 2.98
Pu (0.5000, 0.5000, 0.5000)  4 Fe 2.98, 4 Cu 2.98
Fe (0.7500, 0.7500, 0.7500)  4 Sm 2.98, 4 Pu 2.98
Cu (0.2500, 0.2500, 0.2500)  4 Pu 2.98, 4 Sm 2.98

Values from the calculation:
Volume = 81.7 Å³ per cell
ΔE_f = 0.125 eV per atom
Total magnetization = 4.25 μB/f.u.

[6]
The following is a DFT calculation (PBE-GGA) of a relaxed LiZnF4 crystal.

Lattice parameters (Å, degrees): 5.6583 5.6583 5.6583 106.26 106.26 116.09
Last column: nearest neighbours and their distance in Å.
Atoms (fractional coordinates):
Li (0.0000, 0.0000, 0.0000)  6 F 2.00-2.09
Li (0.7500, 0.2500, 0.5000)  6 F 2.00-2.09
Zn (0.2368, 0.7368, 0.5000)  6 F 1.91-2.12
Zn (0.4868, 0.4868, 0.0000)  6 F 1.91-2.12
F (0.0036, 0.3119, 0.3083)  1 Zn 1.91, 2 Li 2.00-2.09
F (0.0036, 0.6953, 0.6917)  1 Zn 1.91, 2 Li 2.00-2.09
F (0.0619, 0.2536, 0.8083)  1 Zn 1.91, 2 Li 2.00-2.09
F (0.4453, 0.2536, 0.1917)  1 Zn 1.91, 2 Li 2.00-2.09
F (0.4801, 0.1672, 0.6871)  2 Zn 1.93-2.12, 1 Li 2.06
F (0.4801, 0.7930, 0.3129)  2 Zn 1.93-2.12, 1 Li 2.06
F (0.5430, 0.7301, 0.8129)  2 Zn 1.93-2.12, 1 Li 2.06
F (0.9172, 0.7301, 0.1871)  2 Zn 1.93-2.12, 1 Li 2.06

Values from the calculation:
Volume = 138.0 Å³ per cell
Total magnetization = 1.03 μB/f.u.
Formation energy (no corrections) = -2.11 eV/atom